Record 1
Entry from Alexandria via LeMat-Bulk: a relaxed structure of K2SrW (PBE).

Output
energy of formation: 1.484 eV per atom
polymorph energy (0 for the lowest one): 1.17 eV per formula unit
V: 685.01 Å³ per cell

Structure (CIF):
```
data_K2SrW
_chemical_formula_sum 'K8 Sr4 W4'
_space_group_name_H-M_alt 'I -4 2 d'
_space_group_IT_number 122
_space_group_name_Hall 'I -4 2bw'
_cell_length_a 4.983
_cell_length_b 4.983
_cell_length_c 27.585
_cell_angle_alpha 90.00
_cell_angle_beta 90.00
_cell_angle_gamma 90.00
loop_
_atom_site_label
_atom_site_fract_x
_atom_site_fract_y
_atom_site_fract_z
K1 0.227 0.250 0.125
Sr1 0.000 0.000 0.500
W1 0.000 0.000 0.000
```

Record 2
Entry from Alexandria via LeMat-Bulk: a relaxed structure of K2SrW (PBE).

Output
energy of formation: 1.362 eV per atom
polymorph energy (0 for the lowest one): 0.68 eV per formula unit
V: 323.48 Å³ per cell

Structure (CIF):
```
data_K2SrW
_chemical_formula_sum 'K4 Sr2 W2'
_space_group_name_H-M_alt 'C 1 m 1'
_space_group_IT_number 8
_cell_length_a 10.839
_cell_length_b 3.174
_cell_length_c 9.410
_cell_angle_alpha 90.00
_cell_angle_beta 92.35
_cell_angle_gamma 90.00
loop_
_space_group_symop_operation_xyz
'x,y,z'
'x,-y,z'
'x+1/2,y+1/2,z'
'x+1/2,-y+1/2,z'
loop_
_atom_site_label
_atom_site_fract_x
_atom_site_fract_y
_atom_site_fract_z
K1 0.000 0.000 0.000
K2 0.239 0.000 0.653
Sr1 0.479 0.000 0.380
W1 0.243 0.500 0.253
```

Record 3
Entry from Alexandria via LeMat-Bulk: a relaxed structure of K2SrW (PBE).

Output
energy of formation: 1.435 eV per atom
polymorph energy (0 for the lowest one): 0.98 eV per formula unit
V: 158.62 Å³ per cell

Structure (CIF):
```
data_K2SrW
_chemical_formula_sum 'K2 Sr1 W1'
_space_group_name_H-M_alt 'P 1 2/m 1'
_space_group_IT_number 10
_cell_length_a 3.841
_cell_length_b 6.725
_cell_length_c 6.152
_cell_angle_alpha 90.00
_cell_angle_beta 93.53
_cell_angle_gamma 90.00
loop_
_space_group_symop_operation_xyz
'x,y,z'
'-x,-y,-z'
'-x,y,-z'
'x,-y,z'
loop_
_atom_site_label
_atom_site_fract_x
_atom_site_fract_y
_atom_site_fract_z
K1 0.232 0.000 0.273
Sr1 0.500 0.500 0.000
W1 0.000 0.500 0.500
```

Record 4
Entry from Alexandria via LeMat-Bulk: a relaxed structure of K2SrW (PBE).

Output
energy of formation: 1.305 eV per atom
polymorph energy (0 for the lowest one): 0.46 eV per formula unit
V: 391.26 Å³ per cell

Structure (CIF):
```
data_K2SrW
_chemical_formula_sum 'K4 Sr2 W2'
_space_group_name_H-M_alt 'I m m m'
_space_group_IT_number 71
_space_group_name_Hall '-I 2 2'
_cell_length_a 3.759
_cell_length_b 5.414
_cell_length_c 19.222
_cell_angle_alpha 90.00
_cell_angle_beta 90.00
_cell_angle_gamma 90.00
loop_
_atom_site_label
_atom_site_fract_x
_atom_site_fract_y
_atom_site_fract_z
K1 0.000 0.000 0.163
Sr1 0.000 0.500 0.000
W1 0.000 0.500 0.500
```

Record 5
Entry from Alexandria via LeMat-Bulk: a relaxed structure of K2SrW (PBE).

Output
energy of formation: 1.281 eV per atom
polymorph energy (0 for the lowest one): 0.36 eV per formula unit
V: 418.35 Å³ per cell

Structure (CIF):
```
data_K2SrW
_chemical_formula_sum 'K6 Sr3 W3'
_space_group_name_H-M_alt 'R 3 m'
_space_group_IT_number 160
_space_group_name_Hall 'R 3 -2"'
_cell_length_a 3.4374
_cell_length_b 3.4374
_cell_length_c 40.8830
_cell_angle_alpha 90.00
_cell_angle_beta 90.00
_cell_angle_gamma 120.00
loop_
_atom_site_label
_atom_site_fract_x
_atom_site_fract_y
_atom_site_fract_z
K1 0.0000 0.0000 0.0000
K2 0.0000 0.0000 0.2306
Sr1 0.0000 0.0000 0.7652
W1 0.0000 0.0000 0.4929
```

Record 6
Entry from Alexandria via LeMat-Bulk: a relaxed structure of KSrW3 (PBE).

Output
energy of formation: 3.453 eV per atom
polymorph energy (0 for the lowest one): 0.00 eV per formula unit
V: 112.28 Å³ per cell

Structure (CIF):
```
data_KSrW3
_chemical_formula_sum 'K1 Sr1 W3'
_space_group_name_H-M_alt 'P m -3 m'
_space_group_IT_number 221
_space_group_name_Hall '-P 4 2 3'
_cell_length_a 4.824
_cell_length_b 4.824
_cell_length_c 4.824
_cell_angle_alpha 90.00
_cell_angle_beta 90.00
_cell_angle_gamma 90.00
loop_
_atom_site_label
_atom_site_fract_x
_atom_site_fract_y
_atom_site_fract_z
K1 0.000 0.000 0.000
Sr1 0.500 0.500 0.500
W1 0.000 0.000 0.500
```

Record 7
Entry from Alexandria via LeMat-Bulk: a relaxed structure of K4SrW (PBE).

Output
energy of formation: 1.185 eV per atom
V: 1181.64 Å³ per cell

Structure (CIF):
```
data_K4SrW
_chemical_formula_sum 'K16 Sr4 W4'
_space_group_name_H-M_alt 'F -4 3 m'
_space_group_IT_number 216
_space_group_name_Hall 'F -4 2 3'
_cell_length_a 10.572
_cell_length_b 10.572
_cell_length_c 10.572
_cell_angle_alpha 90.00
_cell_angle_beta 90.00
_cell_angle_gamma 90.00
loop_
_atom_site_label
_atom_site_fract_x
_atom_site_fract_y
_atom_site_fract_z
K1 0.123 0.123 0.377
Sr1 0.000 0.000 0.000
W1 0.250 0.250 0.750
```

Record 8
Entry from Alexandria via LeMat-Bulk: a relaxed structure of KSrW (PBE).

Output
energy of formation: 1.588 eV per atom
polymorph energy (0 for the lowest one): 0.63 eV per formula unit
V: 188.81 Å³ per cell

Structure (CIF):
```
data_KSrW
_chemical_formula_sum 'K2 Sr2 W2'
_space_group_name_H-M_alt 'I m m 2'
_space_group_IT_number 44
_cell_length_a 2.982
_cell_length_b 5.058
_cell_length_c 12.516
_cell_angle_alpha 90.00
_cell_angle_beta 90.00
_cell_angle_gamma 90.00
loop_
_space_group_symop_operation_xyz
'x,y,z'
'-x,-y,z'
'-x,y,z'
'x,-y,z'
'x+1/2,y+1/2,z+1/2'
'-x+1/2,-y+1/2,z+1/2'
'-x+1/2,y+1/2,z+1/2'
'x+1/2,-y+1/2,z+1/2'
loop_
_atom_site_label
_atom_site_fract_x
_atom_site_fract_y
_atom_site_fract_z
K1 0.000 0.000 0.000
Sr1 0.000 0.000 0.709
W1 0.000 0.000 0.328
```

We obtain uncorrected energy values of -2.72 -2.85 -2.77 -2.90 -2.93 -4.87 -1.99 -3.66 eV per atom for the records listed above, in that order.